#1
5
Lattice="-1.655 2.864 -2.509 -0.473 -2.870 -2.963 -3.778 -0.895 1.471" Properties=species:S:1:pos:R:3 comment="HIrAu3 PBE optimized geometry" spacegroup="No. 221" crystal_system=cubic pbc="T T T"
Au -0.828 1.432 -1.255
Au -1.889 -0.448 0.735
Au -0.237 -1.435 -1.481
H 0.000 0.000 0.000
Ir -2.953 -0.451 -2.001

#2
5
Lattice="5.089 0.000 0.000 0.000 5.089 0.000 0.000 0.000 5.089" Properties=species:S:1:pos:R:3 comment="HIrAu3 PBE optimized geometry" spacegroup="No. 221" crystal_system=cubic pbc="T T T"
Au 2.545 0.000 0.000
Au 0.000 0.000 2.545
Au 0.000 2.545 0.000
Ir 0.000 0.000 0.000
H 2.545 2.545 2.545

Relative energies, meV/atom: #1 0; #2 927.

#1
5
Lattice="4.160 0.000 0.000 0.000 4.160 0.000 0.000 0.000 3.696" Properties=species:S:1:pos:R:3 comment="Mn2HIrAu PBE optimized geometry" spacegroup="No. 123" crystal_system=tetragonal pbc="T T T"
H 0.000 0.000 0.000
Ir 0.000 0.000 1.848
Mn 0.000 2.080 0.000
Mn 2.080 0.000 0.000
Au 2.080 2.080 1.848

#2
5
Lattice="-0.168 3.841 1.356 -2.053 1.093 -3.348 -3.279 -0.765 1.761" Properties=species:S:1:pos:R:3 comment="Mn2HIrAu PBE optimized geometry" spacegroup="No. 123" crystal_system=tetragonal pbc="T T T"
H 0.000 0.000 0.000
Mn -1.026 0.546 -1.674
Mn -0.084 1.920 0.678
Ir -2.750 2.084 -0.116
Au -1.640 -0.382 0.880

Relative energies, meV/atom: #1 0; #2 181.

#1
4
Lattice="3.351 0.000 0.000 -1.676 2.902 0.000 0.000 0.000 5.943" Properties=species:S:1:pos:R:3 comment="PHIrAu PBE optimized geometry" spacegroup="No. 156" crystal_system=trigonal pbc="T T T"
Ir 0.000 0.000 3.911
P 0.000 1.935 2.694
H 0.000 0.000 5.699
Au 0.000 1.935 0.294

#2
12
Lattice="3.408 0.000 0.000 -1.704 2.952 0.000 0.000 0.000 19.666" Properties=species:S:1:pos:R:3 comment="PHIrAu PBE optimized geometry" spacegroup="No. 160" crystal_system=trigonal pbc="T T T"
Au 0.000 0.000 17.945
Au 1.704 0.984 4.834
Au 0.000 1.968 11.389
P 0.000 1.968 7.890
P 0.000 0.000 14.446
P 1.704 0.984 1.335
H 0.000 0.000 15.934
H 1.704 0.984 2.824
H 0.000 1.968 9.379
Ir 1.704 0.984 13.386
Ir 0.000 0.000 6.831
Ir 0.000 1.968 0.275

Relative energies, meV/atom: #1 56; #2 0.

#1
4
Lattice="3.481 -0.031 0.032 1.684 3.034 -0.320 1.808 -0.346 5.689" Properties=species:S:1:pos:R:3 comment="PHIrAu PBE optimized geometry" spacegroup="No. 1" crystal_system=triclinic pbc="T T T"
H 3.342 2.059 5.207
P 2.150 1.051 2.541
Au 2.199 0.788 0.146
Ir 3.879 2.177 3.480

#2
12
Lattice="-1.745 0.946 -2.654 -1.480 -1.678 2.444 -4.158 15.896 8.399" Properties=species:S:1:pos:R:3 comment="PHIrAu PBE optimized geometry" spacegroup="No. 160" crystal_system=trigonal pbc="T T T"
Au -1.947 1.180 -0.369
Au -3.062 11.707 6.185
Au -3.244 5.604 4.130
H -3.637 7.106 4.924
H -2.339 2.682 0.425
H -3.455 13.208 6.979
Ir -3.911 8.690 3.599
Ir -5.208 13.114 8.098
Ir -0.868 3.320 1.754
P -5.574 15.048 6.959
P -2.714 3.575 3.059
P -2.531 9.678 5.113

Relative energies, meV/atom: #1 22; #2 0.

#1
8
Lattice="-1.444 -4.567 1.332 -0.601 -0.904 -3.751 6.272 -0.007 -1.003" Properties=species:S:1:pos:R:3 comment="PHIrAu PBE optimized geometry" spacegroup="No. 8" crystal_system=monoclinic pbc="T T T"
Ir 2.713 -2.009 0.049
Ir -0.724 -2.457 -1.325
Au 5.044 -0.091 -0.787
Au 1.607 -0.539 -2.160
P 4.902 -2.680 -0.140
P 1.465 -3.128 -1.514
H 2.199 -0.354 -0.267
H 5.034 -0.810 -2.644

#2
4
Lattice="3.355 0.000 0.000 -1.677 2.905 0.000 0.000 0.000 6.662" Properties=species:S:1:pos:R:3 comment="PHIrAu PBE optimized geometry" spacegroup="No. 156" crystal_system=trigonal pbc="T T T"
H 0.000 0.000 6.380
Ir 1.677 0.968 2.318
P 0.000 0.000 1.215
Au 0.000 0.000 4.408

#3
8
Lattice="-0.560 3.003 4.671 1.925 -1.697 1.322 5.965 3.607 -4.054" Properties=species:S:1:pos:R:3 comment="PHIrAu PBE optimized geometry" spacegroup="No. 8" crystal_system=monoclinic pbc="T T T"
H 5.913 2.770 -1.901
H 1.968 1.815 -0.535
Ir 3.379 1.852 0.609
Ir 5.399 4.504 -2.079
P 3.758 3.801 -0.593
P 1.738 1.148 2.095
Au 4.596 5.670 0.588
Au 2.576 3.018 3.276

#4
4
Lattice="2.957 -0.002 -0.005 1.460 3.999 0.005 0.020 0.204 5.130" Properties=species:S:1:pos:R:3 comment="PHIrAu PBE optimized geometry" spacegroup="No. 1" crystal_system=triclinic pbc="T T T"
Au 0.377 1.095 4.602
P 3.322 2.171 2.462
Ir 1.843 3.873 2.041
H 1.847 3.221 0.546

Relative energies, meV/atom: #1 45; #2 0; #3 57; #4 15.

#1
5
Lattice="-0.509 -0.816 -3.932 3.412 -2.178 0.010 -2.213 -3.461 1.005" Properties=species:S:1:pos:R:3 comment="Ta2HIrAu PBE optimized geometry" spacegroup="No. 123" crystal_system=tetragonal pbc="T T T"
Au -1.106 -1.731 0.503
Ta 1.706 -1.089 0.005
Ta -0.255 -0.408 -1.966
Ir 0.345 -3.228 -1.458
H 0.000 0.000 0.000

#2
5
Lattice="-3.165 0.579 2.575 2.503 -0.621 3.215 0.829 3.984 0.124" Properties=species:S:1:pos:R:3 comment="Ta2HIrAu PBE optimized geometry" spacegroup="No. 123" crystal_system=tetragonal pbc="T T T"
Au 0.084 1.971 2.957
Ta 1.251 -0.310 1.607
Ta -1.582 0.289 1.288
H 0.000 0.000 0.000
Ir 0.415 1.992 0.062

Relative energies, meV/atom: #1 46; #2 0.

#1
5
Lattice="-3.094 -2.883 -1.558 3.040 -1.724 -2.847 1.044 -2.562 2.666" Properties=species:S:1:pos:R:3 comment="Zr2HIrAu PBE optimized geometry" spacegroup="No. 123" crystal_system=tetragonal pbc="T T T"
H 0.000 0.000 0.000
Zr 1.520 -0.862 -1.423
Zr -1.547 -1.442 -0.779
Au 0.495 -3.584 -0.869
Ir 0.522 -1.281 1.333

#2
5
Lattice="4.326 0.000 0.000 0.000 4.326 0.000 0.000 0.000 4.108" Properties=species:S:1:pos:R:3 comment="Zr2HIrAu PBE optimized geometry" spacegroup="No. 123" crystal_system=tetragonal pbc="T T T"
H 0.000 0.000 0.000
Ir 2.163 2.163 2.054
Zr 2.163 0.000 0.000
Zr 0.000 2.163 0.000
Au 0.000 0.000 2.054

Relative energies, meV/atom: #1 0; #2 84.

#1
10
Lattice="8.069 0.000 0.000 0.000 8.069 0.000 0.000 0.000 2.826" Properties=species:S:1:pos:R:3 comment="KH2Au2 PBE optimized geometry" spacegroup="No. 127" crystal_system=tetragonal pbc="T T T"
K 4.035 4.035 0.000
K 0.000 0.000 0.000
Au 7.083 5.021 0.000
Au 5.021 0.987 0.000
Au 3.048 7.083 0.000
Au 0.987 3.048 0.000
H 5.825 1.791 1.413
H 1.791 2.244 1.413
H 2.244 6.279 1.413
H 6.279 5.825 1.413

#2
5
Lattice="3.995 0.000 0.000 0.000 3.995 0.000 1.998 1.998 5.700" Properties=species:S:1:pos:R:3 comment="KH2Au2 PBE optimized geometry" spacegroup="No. 139" crystal_system=tetragonal pbc="T T T"
Au 1.998 1.998 2.451
Au 3.995 3.995 3.249
H 3.995 1.998 2.850
H 1.998 3.995 2.850
K 0.000 0.000 0.000

Relative energies, meV/atom: #1 0; #2 44.